[1]
Entry from Alexandria: YMg2Ga2Au2 after structural relaxation (GGA-PBE).

```
YMg2Ga2Au2
1.0
4.520 0.000 0.000
2.260 3.914 0.000
2.260 1.305 8.020
Y Mg Ga Au
1 2 2 2
Cartesian
0.000 0.000 0.000
2.260 1.305 4.805
6.780 3.914 3.216
4.520 2.610 1.659
4.520 2.610 6.361
6.780 3.914 6.048
2.260 1.305 1.973
```

Properties
DFT total energy   -26.2 eV/cell
Calculated density   7.9 g/cm3
Symmetry   R-3m (166)
Total moment   0.0 μB/f.u.



[2]
Entry from Alexandria: Sm4Rh2Cl3 after structural relaxation (GGA-PBE).

```
Sm4Rh2Cl3
1.0
3.988 0.000 0.003
-1.994 3.454 -0.003
-0.006 0.004 17.963
Sm Rh Cl
4 2 3
Cartesian
-0.002 2.303 15.714
3.981 0.004 5.511
-1.993 3.453 12.452
1.989 1.154 2.249
1.994 1.151 14.186
-0.006 2.306 3.777
1.986 1.156 7.265
0.000 0.000 0.000
0.002 2.301 10.699
```

Properties
Calculated density   6.1 g/cm3
Raw formation energy   -1.347 eV/atom
Symmetry   C2/m (12)
Total moment   0.0 μB/f.u.



[3]
Entry from Alexandria: Sr5TcN4Cl2 after structural relaxation (GGA-PBE).

```
Sr5TcN4Cl2
1.0
6.519 0.000 0.000
-3.259 4.707 0.000
0.000 0.000 8.302
Sr Tc N Cl
5 1 4 2
Cartesian
-0.670 1.811 1.597
3.348 0.000 4.151
-0.670 1.811 6.705
2.589 2.897 6.705
2.589 2.897 1.597
2.738 0.000 0.000
3.760 0.000 1.593
3.760 0.000 6.709
1.289 1.371 0.000
-1.971 3.337 0.000
4.351 2.823 4.151
1.091 1.884 4.151
```

Properties
Calculated density   4.3 g/cm3
Raw formation energy   -0.908 eV/atom
Symmetry   Amm2 (38)
Total moment   0.5 μB/f.u.



[4]
Entry from Alexandria: AlBiSCl2 after structural relaxation (GGA-PBE).

```
AlBiSCl2
1.0
5.467 0.000 0.000
0.000 5.467 0.000
0.000 0.000 5.375
S Al Bi Cl
1 1 1 2
Cartesian
0.000 0.000 2.688
2.734 2.734 2.688
0.000 0.000 0.000
0.000 2.734 0.000
2.734 0.000 0.000
```

Properties
E above lowest polymorph   105 kJ/mol of formula units
Calculated density   3.5 g/cm3
Raw formation energy   -0.229 eV/atom
Symmetry   P4/mmm (123)
Total moment   0.0 μB/f.u.



[5]
Entry from Alexandria: Ni2BAsSe after structural relaxation (GGA-PBE).

```
Ni2BAsSe
1.0
-2.562 2.664 2.676
-2.867 -2.514 -0.243
1.591 -2.171 3.685
Ni As B Se
2 1 1 1
Cartesian
0.796 -1.085 1.843
-1.281 1.332 1.338
0.000 0.000 0.000
-1.433 -1.257 -0.121
-1.919 -1.010 3.059
```

Properties
Calculated density   5.9 g/cm3
Raw formation energy   0.923 eV/atom
Symmetry   P4/mmm (123)
Total moment   0.0 μB/f.u.



[6]
Entry from Alexandria: KHfCuSe4 after structural relaxation (GGA-PBE).

```
KHfCuSe4
1.0
6.866 0.000 -0.132
0.000 5.585 0.000
-2.895 0.000 9.076
K Hf Cu Se
2 2 2 8
Cartesian
2.488 4.189 8.564
1.483 1.396 0.381
3.713 4.189 3.891
0.258 1.396 5.053
0.940 4.189 2.884
3.031 1.396 6.061
-1.872 2.854 6.231
5.844 0.061 2.714
5.844 2.732 2.714
-1.872 5.524 6.231
2.749 4.189 1.422
1.223 1.396 7.523
1.323 4.189 5.255
2.648 1.396 3.690
```

Properties
Calculated density   5.7 g/cm3
Raw formation energy   -0.828 eV/atom
Symmetry   P2_1/m (11)
Total moment   0.0 μB/f.u.



[7]
Entry from Alexandria: LaZnOs3 after structural relaxation (GGA-PBE).

```
LaZnOs3
1.0
-2.366 2.821 2.795
-3.781 -2.594 -0.583
1.213 -2.585 3.635
Zn Os La
1 3 1
Cartesian
0.000 0.000 0.000
-1.891 -1.297 -0.291
0.606 -1.292 1.817
-1.183 1.410 1.397
-2.467 -1.179 2.924
```

Properties
E above lowest polymorph   0 kJ/mol of formula units
Calculated density   13.0 g/cm3
Symmetry   Pm-3m (221)
Total moment   0.0 μB/f.u.



[8]
Entry from Alexandria: TeIr2F after structural relaxation (GGA-PBE).

```
TeIr2F
1.0
0.000 3.113 3.113
3.113 0.000 3.113
3.113 3.113 0.000
Ir Te F
2 1 1
Cartesian
1.557 1.557 1.557
4.670 4.670 4.670
3.113 3.113 3.113
0.000 0.000 0.000
```

Properties
E above lowest polymorph   0 kJ/mol of formula units
Calculated density   14.6 g/cm3
Raw formation energy   0.090 eV/atom
Symmetry   Fm-3m (225)
Total moment   0.0 μB/f.u.